[1]
This record from Alexandria via LeMat-Bulk describes a geometry-optimized Nd2Ho3Tl4 structure. The functional is GGA-PBE.

Cell and atoms, written as extended XYZ:
```
9
Lattice="4.5946 -2.6571 0.0000 4.5946 2.6571 0.0000 -0.0223 0.0000 10.7484" Properties=species:S:1:pos:R:3 pbc="T T T"
Nd 1.5275 0.0000 2.9829
Nd 7.6393 0.0000 7.7655
Ho 1.5117 0.0000 9.9598
Ho 4.5834 0.0000 5.3742
Ho 7.6551 0.0000 0.7887
Tl 1.5159 0.0000 6.4766
Tl 4.5890 0.0000 1.6133
Tl 4.5778 0.0000 9.1351
Tl 7.6509 0.0000 4.2718
```

Computed properties:
For the volume, the calculation gives 29.16 Å³/atom. As for the calculated formation energy: -0.294 eV/atom. Its excess energy over the best structure of this formula in the dataset is 0 kJ/mol of formula units. The total magnetization is 0.00 μB/atom. For the total DFT energy (no corrections), the calculation gives -3.931 eV per atom. The density of states at the Fermi level is 7.687 states/eV per cell. The calculation puts the calculated density at 10.13 g/cm3.

[2]
This record from Alexandria via LeMat-Bulk describes a geometry-optimized Nd15HoTl4 structure. The functional is GGA-PBE.

Cell and atoms, written as extended XYZ:
```
20
Lattice="4.9925 0.0000 0.0000 0.0000 4.9925 0.0000 0.0000 0.0000 25.5234" Properties=species:S:1:pos:R:3 pbc="T T T"
Nd 0.0000 0.0000 0.0000
Nd 0.0000 0.0000 5.2026
Nd 0.0000 0.0000 10.2480
Nd 0.0000 0.0000 15.2754
Nd 0.0000 0.0000 20.3208
Nd 0.0000 2.4962 2.6632
Nd 0.0000 2.4962 7.7296
Nd 0.0000 2.4962 12.7617
Nd 0.0000 2.4962 17.7937
Nd 0.0000 2.4962 22.8602
Nd 2.4962 0.0000 2.6632
Nd 2.4962 0.0000 7.7296
Nd 2.4962 0.0000 12.7617
Nd 2.4962 0.0000 17.7937
Nd 2.4962 0.0000 22.8602
Ho 2.4962 2.4962 0.0000
Tl 2.4962 2.4962 5.2478
Tl 2.4962 2.4962 10.2483
Tl 2.4962 2.4962 15.2750
Tl 2.4962 2.4962 20.2755
```

Computed properties:
For the volume, the calculation gives 31.81 Å³/atom. As for the calculated formation energy: -0.156 eV/atom. The total magnetization is 0.00 μB/atom. For the total DFT energy (no corrections), the calculation gives -4.434 eV per atom. The density of states at the Fermi level is 29.669 states/eV per cell. The calculation puts the calculated density at 8.21 g/cm3.

[3]
This record from Alexandria via LeMat-Bulk describes a geometry-optimized Nd2HoTl2 structure. The functional is GGA-PBE.

Cell and atoms, written as extended XYZ:
```
5
Lattice="-2.4563 3.5070 4.4988 2.4563 -3.5070 4.4988 2.4563 3.5070 -4.4988" Properties=species:S:1:pos:R:3 pbc="T T T"
Nd 0.0000 0.0000 1.7359
Nd 0.0000 0.0000 7.2617
Ho 0.0000 3.5070 0.0000
Tl 2.4563 1.5487 0.0000
Tl 0.0000 1.9583 4.4988
```

Computed properties:
For the volume, the calculation gives 31.00 Å³/atom. As for the calculated formation energy: -0.283 eV/atom. The total magnetization is 0.00 μB/atom. For the total DFT energy (no corrections), the calculation gives -4.052 eV per atom. The density of states at the Fermi level is 5.911 states/eV per cell. The calculation puts the calculated density at 9.24 g/cm3.

[4]
This record from Alexandria via LeMat-Bulk describes a geometry-optimized Nd4Ho3Tl structure. The functional is GGA-PBE.

Cell and atoms, written as extended XYZ:
```
16
Lattice="11.4248 0.0000 0.0000 0.0000 6.3281 0.0000 0.0000 0.0000 7.0485" Properties=species:S:1:pos:R:3 pbc="T T T"
Nd 0.0000 1.0403 0.0000
Nd 0.0000 4.3744 5.2984
Nd 2.7068 6.1567 1.7833
Nd 3.0056 0.1714 5.3075
Nd 5.7124 1.9537 1.7741
Nd 5.7124 5.2878 3.5242
Nd 8.4191 0.1714 5.3075
Nd 8.7180 6.1567 1.7833
Ho 0.0000 1.1573 3.5705
Ho 2.8400 3.1662 0.0460
Ho 2.8724 3.1619 3.5703
Ho 5.7124 5.1708 0.0463
Ho 8.5524 3.1619 3.5703
Ho 8.5848 3.1662 0.0460
Tl 0.0000 4.0629 1.8139
Tl 5.7124 2.2652 5.3382
```

Computed properties:
For the volume, the calculation gives 31.85 Å³/atom. As for the calculated formation energy: -0.049 eV/atom. Its excess energy over the best structure of this formula in the dataset is 18 kJ/mol of formula units. The total magnetization is 0.00 μB/atom. For the total DFT energy (no corrections), the calculation gives -4.446 eV per atom. The density of states at the Fermi level is 18.682 states/eV per cell. The calculation puts the calculated density at 8.32 g/cm3.

[5]
This record from Alexandria via LeMat-Bulk describes a geometry-optimized Nd3Ho2Tl structure. The functional is GGA-PBE.

Cell and atoms, written as extended XYZ:
```
12
Lattice="8.6944 -3.4369 0.0000 8.6944 3.4369 0.0000 -1.0217 0.0000 6.4499" Properties=species:S:1:pos:R:3 pbc="T T T"
Nd 2.8942 0.8097 0.2825
Nd 7.9281 1.8597 4.8374
Nd 2.3834 -0.8097 3.5074
Nd 13.9837 0.8097 2.9425
Nd 8.4390 -1.8597 1.6125
Nd 13.4728 -0.8097 6.1674
Ho 5.4423 0.7520 2.7662
Ho 4.9314 -0.7520 5.9911
Ho 11.4356 0.7520 0.4588
Ho 10.9248 -0.7520 3.6837
Tl 8.4390 1.4973 1.6125
Tl 7.9281 -1.4973 4.8374
```

Computed properties:
For the volume, the calculation gives 32.12 Å³/atom. As for the calculated formation energy: -0.070 eV/atom. Its excess energy over the best structure of this formula in the dataset is 22 kJ/mol of formula units. The total magnetization is 0.00 μB/atom. For the total DFT energy (no corrections), the calculation gives -4.374 eV per atom. The density of states at the Fermi level is 11.651 states/eV per cell. The calculation puts the calculated density at 8.33 g/cm3.

[6]
This record from Alexandria via LeMat-Bulk describes a geometry-optimized Nd5Ho3Tl structure. The functional is GGA-PBE.

Cell and atoms, written as extended XYZ:
```
18
Lattice="6.9177 -4.0571 0.0000 6.9177 4.0571 0.0000 -1.2587 0.0000 11.3151" Properties=species:S:1:pos:R:3 pbc="T T T"
Nd -0.3447 0.0000 4.1929
Nd 4.8615 1.7261 2.7986
Nd 6.9177 2.6866 0.0000
Nd 2.4198 0.0000 10.8801
Nd 7.7151 1.7261 8.5165
Nd 4.8615 -1.7261 2.7986
Nd 10.1568 0.0000 0.4350
Nd 6.9177 -2.6866 0.0000
Nd 7.7151 -1.7261 8.5165
Nd 12.9213 0.0000 7.1221
Ho 2.0801 0.0000 2.4489
Ho 2.7050 0.0000 5.9355
Ho 6.9177 0.0000 0.0000
Ho 6.2883 0.0000 5.6575
Ho 9.8716 0.0000 5.3795
Ho 10.4965 0.0000 8.8662
Tl 4.6534 0.0000 8.3715
Tl 7.9232 0.0000 2.9436
```

Computed properties:
For the volume, the calculation gives 35.29 Å³/atom. As for the calculated formation energy: 0.388 eV/atom. The total magnetization is 0.03 μB/atom. For the total DFT energy (no corrections), the calculation gives -4.049 eV per atom. The density of states at the Fermi level is 23.810 states/eV per cell. The calculation puts the calculated density at 7.43 g/cm3.

[7]
This record from Alexandria via LeMat-Bulk describes a geometry-optimized Nd3Ho3Tl2 structure. The functional is GGA-PBE.

Cell and atoms, written as extended XYZ:
```
16
Lattice="2.5728 -6.0268 0.0000 2.5728 6.0268 0.0000 0.0000 0.0000 16.4764" Properties=species:S:1:pos:R:3 pbc="T T T"
Nd 2.5728 5.4898 9.9604
Nd 2.5728 5.4898 14.7542
Nd 2.5728 2.6549 12.3573
Nd 2.5728 -2.6549 4.1191
Nd 2.5728 -5.4898 1.7222
Nd 2.5728 -5.4898 6.5160
Ho 2.5728 1.6314 8.8793
Ho 2.5728 1.6314 15.8353
Ho 2.5728 0.7399 4.1191
Ho 2.5728 -0.7399 12.3573
Ho 2.5728 -1.6314 0.6411
Ho 2.5728 -1.6314 7.5971
Tl 2.5728 3.1968 2.0863
Tl 2.5728 3.1968 6.1519
Tl 2.5728 -3.1968 10.3245
Tl 2.5728 -3.1968 14.3902
```

Computed properties:
For the volume, the calculation gives 31.93 Å³/atom. As for the calculated formation energy: -0.114 eV/atom. Its excess energy over the best structure of this formula in the dataset is 56 kJ/mol of formula units. The total magnetization is 0.00 μB/atom. For the total DFT energy (no corrections), the calculation gives -4.210 eV per atom. The density of states at the Fermi level is 20.970 states/eV per cell. The calculation puts the calculated density at 8.69 g/cm3.

[8]
This record from Alexandria via LeMat-Bulk describes a geometry-optimized Nd5HoTl4 structure. The functional is GGA-PBE.

Cell and atoms, written as extended XYZ:
```
10
Lattice="3.6983 0.0000 0.0000 0.0000 3.6983 0.0000 0.0000 0.0000 22.4165" Properties=species:S:1:pos:R:3 pbc="T T T"
Nd 0.0000 0.0000 0.0000
Nd 0.0000 0.0000 4.3567
Nd 0.0000 0.0000 8.6900
Nd 0.0000 0.0000 13.7265
Nd 0.0000 0.0000 18.0599
Ho 1.8491 1.8491 11.2083
Tl 1.8491 1.8491 2.1784
Tl 1.8491 1.8491 6.5290
Tl 1.8491 1.8491 15.8875
Tl 1.8491 1.8491 20.2382
```

Computed properties:
For the volume, the calculation gives 30.66 Å³/atom. As for the calculated formation energy: -0.292 eV/atom. Its excess energy over the best structure of this formula in the dataset is 0 kJ/mol of formula units. The total magnetization is 0.00 μB/atom. For the total DFT energy (no corrections), the calculation gives -4.080 eV per atom. The density of states at the Fermi level is 12.115 states/eV per cell. The calculation puts the calculated density at 9.23 g/cm3.

[9]
This record from Alexandria via LeMat-Bulk describes a geometry-optimized Nd3Ho3Tl2 structure. The functional is GGA-PBE.

Cell and atoms, written as extended XYZ:
```
8
Lattice="4.8702 0.0000 0.0000 0.0000 4.8966 0.0000 0.0000 0.0000 9.9599" Properties=species:S:1:pos:R:3 pbc="T T T"
Nd 0.0000 0.0000 0.0000
Nd 0.0000 0.0000 4.9799
Nd 2.4351 2.4483 0.0000
Ho 2.4351 0.0000 2.5122
Ho 2.4351 0.0000 7.4477
Ho 2.4351 2.4483 4.9799
Tl 0.0000 2.4483 2.5304
Tl 0.0000 2.4483 7.4295
```

Computed properties:
For the volume, the calculation gives 29.69 Å³/atom. As for the calculated formation energy: -0.186 eV/atom. Its excess energy over the best structure of this formula in the dataset is 0 kJ/mol of formula units. The total magnetization is 0.00 μB/atom. For the total DFT energy (no corrections), the calculation gives -4.282 eV per atom. The density of states at the Fermi level is 12.230 states/eV per cell. The calculation puts the calculated density at 9.34 g/cm3.

[10]
This record from Alexandria via LeMat-Bulk describes a geometry-optimized NdHo2Tl structure. The functional is GGA-PBE.

Cell and atoms, written as extended XYZ:
```
4
Lattice="0.0000 3.8839 3.8839 3.8839 0.0000 3.8839 3.8839 3.8839 0.0000" Properties=species:S:1:pos:R:3 pbc="T T T"
Nd 0.0000 0.0000 0.0000
Ho 1.9420 1.9420 1.9420
Ho 5.8259 5.8259 5.8259
Tl 3.8839 3.8839 3.8839
```

Computed properties:
For the volume, the calculation gives 29.29 Å³/atom. As for the calculated formation energy: 0.003 eV/atom. Its excess energy over the best structure of this formula in the dataset is 71 kJ/mol of formula units. The total magnetization is 0.41 μB/atom. For the total DFT energy (no corrections), the calculation gives -4.070 eV per atom. The density of states at the Fermi level is 5.697 states/eV per cell. The calculation puts the calculated density at 9.61 g/cm3.

[11]
This record from Alexandria via LeMat-Bulk describes a geometry-optimized NdHo6Tl4 structure. The functional is GGA-PBE.

Cell and atoms, written as extended XYZ:
```
11
Lattice="10.0552 0.0000 0.0000 -5.0276 8.7081 0.0000 0.0000 0.0000 3.7612" Properties=species:S:1:pos:R:3 pbc="T T T"
Nd 0.0000 0.0000 0.0000
Ho -1.9209 4.6964 0.0000
Ho 2.8936 1.6706 1.8806
Ho 1.9209 4.6964 0.0000
Ho 0.0000 8.0235 0.0000
Ho 7.1616 1.6706 1.8806
Ho 5.0276 5.3668 1.8806
Tl 0.0000 2.8461 1.8806
Tl -2.5628 7.2850 1.8806
Tl 5.0276 2.9027 0.0000
Tl 2.5628 7.2850 1.8806
```

Computed properties:
For the volume, the calculation gives 29.94 Å³/atom. As for the calculated formation energy: -0.229 eV/atom. The total magnetization is 0.23 μB/atom. For the total DFT energy (no corrections), the calculation gives -4.020 eV per atom. The density of states at the Fermi level is 8.594 states/eV per cell. The calculation puts the calculated density at 9.84 g/cm3.

[12]
This record from Alexandria via LeMat-Bulk describes a geometry-optimized Nd3Ho2Tl7 structure. The functional is GGA-PBE.

Cell and atoms, written as extended XYZ:
```
12
Lattice="2.7205 -12.1347 0.0000 2.7205 12.1347 0.0000 0.0000 0.0000 5.6615" Properties=species:S:1:pos:R:3 pbc="T T T"
Nd 0.0000 0.0000 0.0000
Nd 2.7205 8.2168 0.0000
Nd 2.7205 -8.2168 0.0000
Ho 2.7205 3.5383 2.8307
Ho 2.7205 -3.5383 2.8307
Tl 2.7205 10.2753 2.8307
Tl 2.7205 6.7088 2.8307
Tl 2.7205 2.0241 0.0000
Tl 2.7205 0.0000 2.8307
Tl 2.7205 -2.0241 0.0000
Tl 2.7205 -6.7088 2.8307
Tl 2.7205 -10.2753 2.8307
```

Computed properties:
For the volume, the calculation gives 31.15 Å³/atom. As for the calculated formation energy: -0.123 eV/atom. The total magnetization is 0.00 μB/atom. For the total DFT energy (no corrections), the calculation gives -3.458 eV per atom. The density of states at the Fermi level is 10.966 states/eV per cell. The calculation puts the calculated density at 9.74 g/cm3.